Compound: FeRu2O6
Source: Alexandria
Functional: PBE+U
Structure: relaxed

Output
- Volume: 281 Å³ per cell
- DOS at the Fermi energy: 15.44 states/eV per cell
- Electronic total energy: -6.979 eV/atom

Unit cell a=8.620 b=8.620 c=4.372 alpha=90.00 beta=90.00 gamma=120.00
Positions (direct):
Fe1 0.000 0.000 0.000
Fe2 0.333 0.667 0.496
Fe3 0.667 0.333 0.504
Ru1 0.000 0.345 0.000
Ru2 0.000 0.681 0.500
Ru3 0.319 0.319 0.500
Ru4 0.345 0.000 0.000
Ru5 0.655 0.655 0.000
Ru6 0.681 0.000 0.500
O1 0.106 0.220 0.234
O2 0.108 0.564 0.251
O3 0.114 0.894 0.234
O4 0.212 0.439 0.738
O5 0.220 0.106 0.766
O6 0.227 0.788 0.738
O7 0.436 0.544 0.251
O8 0.439 0.212 0.262
O9 0.456 0.892 0.251
O10 0.544 0.436 0.749
O11 0.561 0.773 0.738
O12 0.564 0.108 0.749
O13 0.773 0.561 0.262
O14 0.780 0.886 0.234
O15 0.788 0.227 0.262
O16 0.886 0.780 0.766
O17 0.892 0.456 0.749
O18 0.894 0.114 0.766

Compound: FeRu2O
Source: Alexandria
Functional: PBE+U
Structure: relaxed

Output
- Volume: 107 Å³ per cell
- DOS at the Fermi energy: 7.22 states/eV per cell
- Electronic total energy: -6.908 eV/atom

Unit cell a=5.234 b=5.234 c=5.234 alpha=104.10 beta=104.10 gamma=120.86
Positions (direct):
Fe1 0.000 0.000 0.000
Fe2 0.750 0.250 0.500
Ru1 0.220 0.625 0.095
Ru2 0.375 0.470 0.595
Ru3 0.530 0.125 0.905
Ru4 0.875 0.780 0.405
O1 0.250 0.750 0.500
O2 0.500 0.500 0.000

Compound: FeRuO4
Source: Alexandria
Functional: PBE+U
Structure: relaxed

Output
- Volume: 130 Å³ per cell
- DOS at the Fermi energy: 5.25 states/eV per cell
- Electronic total energy: -6.901 eV/atom

Unit cell a=5.540 b=4.589 c=5.533 alpha=90.00 beta=112.71 gamma=90.00
Positions (direct):
Fe1 0.000 0.000 0.000
Fe2 0.000 0.500 0.500
Ru1 0.500 0.000 0.500
Ru2 0.500 0.500 0.000
O1 0.162 0.196 0.355
O2 0.162 0.304 0.855
O3 0.353 0.710 0.661
O4 0.353 0.790 0.161
O5 0.647 0.210 0.839
O6 0.647 0.290 0.339
O7 0.838 0.696 0.145
O8 0.838 0.804 0.645

Compound: FeRuO2
Source: Alexandria
Functional: PBE+U
Structure: relaxed

Output
- Volume: 40 Å³ per cell
- DOS at the Fermi energy: 3.58 states/eV per cell
- Distance to the lowest polymorph of the same formula: 336 meV per atom

Unit cell a=3.842 b=3.842 c=3.842 alpha=60.00 beta=60.00 gamma=60.00
Positions (direct):
Fe1 0.000 0.000 0.000
Ru1 0.500 0.500 0.500
O1 0.250 0.250 0.250
O2 0.750 0.750 0.750

Compound: FeRu3O
Source: Alexandria
Functional: PBE+U
Structure: relaxed

Output
- Volume: 66 Å³ per cell
- DOS at the Fermi energy: 3.46 states/eV per cell
- Distance to the lowest polymorph of the same formula: 0 meV per atom

Unit cell a=4.045 b=4.045 c=4.045 alpha=90.00 beta=90.00 gamma=90.00
Positions (direct):
Fe1 0.000 0.000 0.000
Ru1 0.000 0.500 0.500
Ru2 0.500 0.000 0.500
Ru3 0.500 0.500 0.000
O1 0.500 0.500 0.500

Compound: FeRu3O
Source: Alexandria
Functional: PBE+U
Structure: relaxed

Output
- Volume: 85 Å³ per cell
- DOS at the Fermi energy: 6.72 states/eV per cell
- Distance to the lowest polymorph of the same formula: 2146 meV per atom

Unit cell a=4.392 b=4.392 c=4.392 alpha=90.00 beta=90.00 gamma=90.00
Positions (direct):
Fe1 0.000 0.000 0.000
Ru1 0.000 0.000 0.500
Ru2 0.000 0.500 0.000
Ru3 0.500 0.000 0.000
O1 0.500 0.500 0.500

Compound: FeRuO2
Source: Alexandria
Functional: PBE+U
Structure: relaxed

Output
- Volume: 48 Å³ per cell
- DOS at the Fermi energy: 2.23 states/eV per cell
- Distance to the lowest polymorph of the same formula: 0 meV per atom

Unit cell a=6.524 b=6.524 c=6.524 alpha=26.18 beta=26.18 gamma=26.18
Positions (direct):
Fe1 0.000 0.000 0.000
Ru1 0.500 0.500 0.500
O1 0.103 0.103 0.103
O2 0.897 0.897 0.897

Compound: FeRuO2
Source: Alexandria
Functional: PBE+U
Structure: relaxed

Output
- Volume: 94 Å³ per cell
- DOS at the Fermi energy: 6.24 states/eV per cell
- Distance to the lowest polymorph of the same formula: 637 meV per atom

Unit cell a=5.480 b=5.480 c=5.480 alpha=130.28 beta=130.28 gamma=72.96
Positions (direct):
Fe1 0.000 0.000 0.000
Fe2 0.750 0.250 0.500
Ru1 0.250 0.750 0.500
Ru2 0.500 0.500 0.000
O1 0.097 0.625 0.972
O2 0.375 0.347 0.472
O3 0.653 0.125 0.028
O4 0.875 0.903 0.528